Below is a crystal of AlSb2TeRh relaxed with PBEsol, with properties calculated at the meta-GGA SCAN level.

Cell: 4.9606 4.9606 5.5339 Å, 90.00 90.00 90.00°
With the nearest neighbours (Å) after each atom.
Sites, in units of the cell vectors:
Al 0.0000 0.0000 0.0000  4 Te 3.51, 8 Sb 3.72
Sb 0.0000 0.5000 0.5000  2 Rh 2.48
Sb 0.5000 0.0000 0.5000  2 Rh 2.48
Te 0.5000 0.5000 0.0000  2 Rh 2.77
Rh 0.5000 0.5000 0.5000  4 Sb 2.48, 2 Te 2.77

Uncorrected energy, eV per atom: -30.23
Space group: P4/mmm
Formation energy from raw total energies, eV/atom: 0.43
Size of the total moment, μB/f.u.: 0.0